Below is an optimized crystal structure of ZrScPtO6, with properties calculated at the GGA-PBE level.

Cell: 4.8053 4.8053 9.6755 Å, 90.00 90.00 90.00°
With the nearest neighbours (Å) after each atom.
Space group P4_2nm (No. 102)
Inequivalent atoms, fractional coordinates:
Zr: 0.0000 0.0000 0.0000 (multiplicity 2)  6 O 2.10-2.13
Sc: 0.0000 0.0000 0.3348 (multiplicity 2)  6 O 2.10-2.16
Pt: 0.0000 0.0000 0.6667 (multiplicity 2)  6 O 1.99-2.02
O: 0.1907 0.1907 0.5082 (multiplicity 4)  1 Pt 2.01, 1 Zr 2.10, 1 Sc 2.12
O: 0.1915 0.1915 0.8258 (multiplicity 4)  1 Pt 2.02, 1 Sc 2.10, 1 Zr 2.13
O: 0.2067 0.2067 0.1652 (multiplicity 4)  1 Pt 1.99, 1 Zr 2.13, 1 Sc 2.16

Summary:
The raw formation energy is -208.9 kJ per mole of atoms.

***

Below is an optimized crystal structure of Tb7PrEr5, with properties calculated at the GGA-PBE level.

Cell: 6.6792 11.1083 11.5625 Å, 90.00 90.00 90.00°
With the nearest neighbours (Å) after each atom.
Space group Imm2 (No. 44)
Inequivalent atoms, fractional coordinates:
Tb: 0.0000 0.0000 0.9999 (multiplicity 2)  3 Tb 3.34-3.54, 4 Er 3.48, 1 Pr 3.51
Tb: 0.0000 0.0000 0.3060 (multiplicity 2)  7 Tb 3.54-3.90, 4 Er 3.73
Tb: 0.0000 0.3283 0.7490 (multiplicity 4)  5 Er 3.42-3.48, 4 Tb 3.45-3.81, 1 Pr 3.70
Tb: 0.0000 0.3287 0.2475 (multiplicity 4)  5 Er 3.45-3.48, 5 Tb 3.49-3.81
Tb: 0.0000 0.5000 0.5000 (multiplicity 2)  6 Tb 3.34-3.49, 4 Er 3.38
Pr: 0.0000 0.0000 0.6963 (multiplicity 2)  7 Tb 3.51-3.89, 4 Er 3.78
Er: 0.0000 0.5000 0.9950 (multiplicity 2)  4 Er 3.11, 4 Tb 3.42-3.48
Er: 0.2346 0.2303 0.4976 (multiplicity 8)  2 Er 3.11-3.13, 6 Tb 3.38-3.48

Summary:
The formation energy comes out at 0.243 eV per atom.

***

Below is an optimized crystal structure of BaCe2Si6, with properties calculated at the GGA-PBE level.

Cell: 7.1504 7.1504 4.3624 Å, 90.00 90.00 120.00°
With the nearest neighbours (Å) after each atom.
Space group P6/mmm (No. 191)
Inequivalent atoms, fractional coordinates:
Ba: 0.0000 0.0000 0.0000 (multiplicity 1)  12 Si 3.26
Ce: 0.3333 0.6667 0.0000 (multiplicity 2)  12 Si 3.21
Si: 0.0000 0.3396 0.5000 (multiplicity 6)  3 Si 2.29-2.43

Summary:
The raw formation energy is -45.2 kJ per mole of atoms.

***

Below is an optimized crystal structure of Ba5Au, with properties calculated at the GGA-PBE level.

Cell: 19.4872 4.3957 7.8641 Å, 90.00 101.48 90.00°
With the nearest neighbours (Å) after each atom.
Space group Cm (No. 8)
Inequivalent atoms, fractional coordinates:
Ba: 0.0000 0.0000 0.0000 (multiplicity 2)  1 Au 3.24
Ba: 0.0671 0.5000 0.5822 (multiplicity 2)  2 Au 3.52
Ba: 0.1914 0.5000 0.1574 (multiplicity 2)  7 Ba 4.18-4.50
Ba: 0.3029 0.0000 0.7141 (multiplicity 2)  2 Au 3.54
Ba: 0.3774 0.0000 0.2797 (multiplicity 2)  2 Au 3.29
Au: 0.4268 0.5000 0.5916 (multiplicity 2)  7 Ba 3.24-3.54

Summary:
The formation energy comes out at -0.194 eV per atom.

***

Below is an optimized crystal structure of TbDy3Ga8, with properties calculated at the GGA-PBE level.

Cell: 5.4883 5.4883 27.2515 Å, 90.00 90.00 120.00°
With the nearest neighbours (Å) after each atom.
Space group R3m (No. 160, hexagonal axes)
Inequivalent atoms, fractional coordinates:
Tb: 0.0000 0.0000 0.0000 (multiplicity 3)  12 Ga 3.22-3.27, 4 Dy 3.38
Dy: 0.0000 0.0000 0.3762 (multiplicity 3)  12 Ga 3.22-3.27, 1 Dy 3.37, 3 Tb 3.38
Dy: 0.0000 0.0000 0.4999 (multiplicity 3)  12 Ga 3.22-3.26, 4 Dy 3.37-3.38
Dy: 0.0000 0.0000 0.8761 (multiplicity 3)  12 Ga 3.22-3.26, 1 Tb 3.38, 3 Dy 3.38
Ga: 0.0000 0.0000 0.1880 (multiplicity 3)  6 Ga 2.77
Ga: 0.0000 0.0000 0.6881 (multiplicity 3)  6 Ga 2.77
Ga: 0.0001 0.5000 0.4382 (multiplicity 9)  6 Ga 2.74-2.77
Ga: 0.0000 0.5000 0.9379 (multiplicity 9)  6 Ga 2.74-2.77

Summary:
The formation energy comes out at -0.559 eV per atom.

***

Below is an optimized crystal structure of CuNiSe2, with properties calculated at the GGA-PBE level.

Cell: 3.3936 7.0780 6.8583 Å, 90.00 90.00 90.00°
With the nearest neighbours (Å) after each atom.
Space group Cmmm (No. 65)
Inequivalent atoms, fractional coordinates:
Cu: 0.0000 0.0000 0.0000 (multiplicity 2)  4 Se 2.48
Ni: 0.0000 0.0000 0.5000 (multiplicity 2)  4 Se 2.34
Se: 0.0000 0.5000 0.2640 (multiplicity 4)  2 Ni 2.34, 2 Cu 2.48

Summary:
The raw formation energy is 18.2 kJ per mole of atoms.

***

Below is an optimized crystal structure of TbPuMgAl, with properties calculated at the GGA-PBE level.

Cell: 7.3702 7.3702 7.3702 Å, 90.00 90.00 90.00°
With the nearest neighbours (Å) after each atom.
Space group F-43m (No. 216)
Inequivalent atoms, fractional coordinates:
Tb: 0.0000 0.0000 0.0000 (multiplicity 4)  4 Mg 3.19, 4 Al 3.19
Pu: 0.0000 0.0000 0.5000 (multiplicity 4)  4 Mg 3.19, 4 Al 3.19
Mg: 0.2500 0.2500 0.7500 (multiplicity 4)  4 Tb 3.19, 4 Pu 3.19
Al: 0.2500 0.2500 0.2500 (multiplicity 4)  4 Tb 3.19, 4 Pu 3.19

Summary:
The formation energy comes out at -0.078 eV per atom.

***

Below is an optimized crystal structure of LaHoTeP, with properties calculated at the GGA-PBE level.

Cell: 4.1721 4.1721 22.4568 Å, 90.00 90.00 120.00°
With the nearest neighbours (Å) after each atom.
Space group R3m (No. 160, hexagonal axes)
Inequivalent atoms, fractional coordinates:
La: 0.0000 0.0000 0.0000 (multiplicity 3)  3 P 2.92
Ho: 0.0000 0.0000 0.1933 (multiplicity 3)  3 P 2.83
Te: 0.0000 0.0000 0.4343 (multiplicity 3)  3 Ho 3.18, 3 La 3.31
P: 0.0000 0.0000 0.5929 (multiplicity 3)  3 Ho 2.83, 3 La 2.92

Summary:
The raw formation energy is -148.2 kJ per mole of atoms.

***

We obtain total magnetization values of 0.000; 0.000; 0.000; 0.000; 0.000; 0.000; 1.484; 0.000 μB per atom for the records listed above, in that order.